Record 1
A geometry-optimized Nd3Tm3ScS8 structure. Source: Alexandria, functional PBE.

abc: 7.793 7.793 7.931
angles: 119.43 90.00 120.00
Fractional positions:
Nd: 0.000 0.000 0.000
Nd: 0.000 0.500 0.000
Nd: 0.500 0.500 0.000
Tm: 0.500 0.000 0.500
Tm: 0.500 0.500 0.500
Tm: 0.000 0.500 0.500
Sc: 0.000 0.000 0.500
S: 0.257 0.514 0.270
S: 0.743 0.486 0.730
S: 0.760 0.519 0.273
S: 0.240 0.481 0.727
S: 0.760 0.013 0.273
S: 0.240 0.987 0.727
S: 0.254 0.013 0.273
S: 0.746 0.987 0.727

Summary:
DOS at the Fermi energy   7.0 states/eV per cell
Size of the total moment   0.00 μB per formula unit
Formation energy (no corrections)   -2.0208 eV/atom
Space-group type   R-3m, No. 166

Record 2
A geometry-optimized LiHfAs2 structure. Source: Alexandria, functional PBE.

abc: 3.920 3.920 6.347
angles: 72.01 72.01 60.00
Fractional positions:
Li: 0.493 0.493 0.521
Hf: 0.669 0.669 0.992
As: 0.087 0.087 0.740
As: 0.251 0.251 0.248

Summary:
DOS at the Fermi energy   1.2 states/eV per cell
Size of the total moment   0.00 μB per formula unit
Space-group type   R3m, No. 160
ΔH_f (0 K)   -0.706 eV/atom
Energy above the most stable polymorph in this dataset   0.0 kJ/mol of atoms

| no. | ρ (g cm⁻³) |
| --- | --- |
| 1 | 6.00 |
| 2 | 7.05 |